Compound: KTbZnF6
Source: the Alexandria database
Functional: PBE-GGA
Structure: relaxed

Cell and atoms, written as CIF:
```
data_KTbZnF6
_chemical_formula_sum 'K2 Tb2 Zn2 F12'
_cell_length_a 5.7932
_cell_length_b 5.7932
_cell_length_c 11.0098
_cell_angle_alpha 90.00
_cell_angle_beta 90.00
_cell_angle_gamma 120.00
_symmetry_space_group_name_H-M 'P -3 1 c'
_symmetry_Int_Tables_number 163
_symmetry_space_group_name_Hall '-P 3 2c'
loop_
_atom_site_label
_atom_site_type_symbol
_atom_site_fract_x
_atom_site_fract_y
_atom_site_fract_z
K1 K 0.0000 0.0000 0.0000
Tb1 Tb 0.3333 0.6667 0.2500
Zn1 Zn 0.3333 0.6667 0.7500
F1 F 0.0168 0.3843 0.6468
```

**Formation energy (no corrections)**: -3.219 eV/atom
**Total DFT energy (no corrections)**: -5.245 eV/atom